A plane-wave DFT calculation with PBE with a Hubbard U was carried out for crystalline GaNi3O at its relaxed geometry.

Results
- uncorrected energy (eV/atom) = -1.88
- E above lowest polymorph (eV per atom) = 1.199
- space-group type = No. 221

abc: 4.431 4.431 4.431
angles: 90.00 90.00 90.00
Fractional coordinates of all 5 atoms:
Ga 0.000 0.000 0.000
Ni 0.000 0.000 0.500
Ni 0.000 0.500 0.000
Ni 0.500 0.000 0.000
O 0.500 0.500 0.500